# 1
Entry from Alexandria: a relaxed AcLa2TbHo5 crystal (PBE-GGA).

Values from the calculation:
**Crystal system**: tetragonal
**Energy of formation from the pure elements**: 0.251 eV per atom

Structure (CIF):
```
data_AcLa2TbHo5
_cell_length_a 8.798
_cell_length_b 8.798
_cell_length_c 15.865
_cell_angle_alpha 90.00
_cell_angle_beta 90.00
_cell_angle_gamma 90.00
_space_group_name_H-M_alt 'I 4/m c m'
_space_group_IT_number 140
_space_group_name_Hall '-I 4 2c'
loop_
_atom_site_label
_atom_site_type_symbol
_atom_site_fract_x
_atom_site_fract_y
_atom_site_fract_z
Ac1 Ac 0.000 0.000 0.250
La1 La 0.117 0.383 0.000
Tb1 Tb 0.000 0.500 0.250
Ho1 Ho 0.000 0.000 0.000
Ho2 Ho 0.211 0.289 0.364
```

***

# 2
Entry from Alexandria: a relaxed AcGa3Pd3 crystal (PBE-GGA).

Values from the calculation:
**Crystal system**: cubic
**Energy of formation from the pure elements**: -0.479 eV per atom

Structure (CIF):
```
data_AcGa3Pd3
_cell_length_a 6.866
_cell_length_b 6.866
_cell_length_c 6.866
_cell_angle_alpha 90.00
_cell_angle_beta 90.00
_cell_angle_gamma 90.00
_space_group_name_H-M_alt 'P m -3 n'
_space_group_IT_number 223
_space_group_name_Hall '-P 4n 2 3'
loop_
_atom_site_label
_atom_site_type_symbol
_atom_site_fract_x
_atom_site_fract_y
_atom_site_fract_z
Ac1 Ac 0.000 0.000 0.000
Ga1 Ga 0.000 0.250 0.500
Pd1 Pd 0.000 0.500 0.250
```

***

# 3
Entry from Alexandria: a relaxed KZnIn4 crystal (PBE-GGA).

Values from the calculation:
**Crystal system**: orthorhombic
**Energy of formation from the pure elements**: -0.063 eV per atom

Structure (CIF):
```
data_KZnIn4
_cell_length_a 4.803
_cell_length_b 17.676
_cell_length_c 7.668
_cell_angle_alpha 90.00
_cell_angle_beta 90.00
_cell_angle_gamma 90.00
_space_group_name_H-M_alt 'C m c m'
_space_group_IT_number 63
_space_group_name_Hall '-C 2c 2'
loop_
_atom_site_label
_atom_site_type_symbol
_atom_site_fract_x
_atom_site_fract_y
_atom_site_fract_z
K1 K 0.000 0.124 0.250
Zn1 Zn 0.000 0.228 0.750
In1 In 0.000 0.067 0.750
In2 In 0.000 0.320 0.051
In3 In 0.000 0.500 0.000
```

***

# 4
Entry from Alexandria: a relaxed Na4La3CeSe8 crystal (PBE-GGA).

Values from the calculation:
**Formation energy without anion corrections**: -1.720 eV/atom
**Crystal system**: trigonal

Structure (CIF):
```
data_Na4La3CeSe8
_cell_length_a 8.7337
_cell_length_b 8.7337
_cell_length_c 20.8726
_cell_angle_alpha 90.00
_cell_angle_beta 90.00
_cell_angle_gamma 120.00
_space_group_name_H-M_alt 'R -3 m'
_space_group_IT_number 166
_space_group_name_Hall '-R 3 2"'
loop_
_atom_site_label
_atom_site_type_symbol
_atom_site_fract_x
_atom_site_fract_y
_atom_site_fract_z
Na1 Na 0.0000 0.0000 0.0000
Na2 Na 0.0000 0.5000 0.0000
La1 La 0.0000 0.5000 0.5000
Ce1 Ce 0.0000 0.0000 0.5000
Se1 Se 0.0000 0.0000 0.2460
Se2 Se 0.0029 0.5015 0.2455
```

***

# 5
Entry from Alexandria: a relaxed LiYRu2 crystal (PBE-GGA).

Values from the calculation:
**Crystal system**: cubic
**Energy of formation from the pure elements**: 0.084 eV per atom

Structure (CIF):
```
data_LiYRu2
_cell_length_a 6.428
_cell_length_b 6.428
_cell_length_c 6.428
_cell_angle_alpha 90.00
_cell_angle_beta 90.00
_cell_angle_gamma 90.00
_space_group_name_H-M_alt 'F -4 3 m'
_space_group_IT_number 216
_space_group_name_Hall 'F -4 2 3'
loop_
_atom_site_label
_atom_site_type_symbol
_atom_site_fract_x
_atom_site_fract_y
_atom_site_fract_z
Li1 Li 0.000 0.000 0.000
Y1 Y 0.250 0.250 0.250
Ru1 Ru 0.000 0.000 0.500
Ru2 Ru 0.250 0.250 0.750
```

***

# 6
Entry from Alexandria: a relaxed PmNdSe2O crystal (PBE-GGA).

Values from the calculation:
**Formation energy without anion corrections**: -2.376 eV/atom
**Crystal system**: tetragonal

Structure (CIF):
```
data_PmNdSe2O
_cell_length_a 4.096
_cell_length_b 4.096
_cell_length_c 14.993
_cell_angle_alpha 90.00
_cell_angle_beta 90.00
_cell_angle_gamma 90.00
_space_group_name_H-M_alt 'P 4/n m m'
_space_group_IT_number 129
loop_
_space_group_symop_operation_xyz
'x,y,z'
'-x,-y,-z'
'-y+1/2,x,z'
'y+1/2,-x,-z'
'-x+1/2,-y+1/2,z'
'x+1/2,y+1/2,-z'
'y,-x+1/2,z'
'-y,x+1/2,-z'
'x+1/2,-y,-z'
'-x+1/2,y,z'
'-y,-x,-z'
'y,x,z'
'-x,y+1/2,-z'
'x,-y+1/2,z'
'y+1/2,x+1/2,-z'
'-y+1/2,-x+1/2,z'
loop_
_atom_site_label
_atom_site_type_symbol
_atom_site_fract_x
_atom_site_fract_y
_atom_site_fract_z
Pm1 Pm 0.250 0.250 0.076
Nd1 Nd 0.250 0.250 0.631
Se1 Se 0.250 0.250 0.411
Se2 Se 0.250 0.250 0.813
O1 O 0.250 0.750 0.000
```